DFT (PBE) results for a geometry-optimized NdPa2OsC4 structure.

Computed properties:
E_form: -146 meV per atom
E: -292.2 eV/cell
total moment: 0.00 μB per atom

Cell lengths 3.5920, 11.9110, 12.1408 Å; angles 90.00, 90.00, 90.00 degrees
Last column: nearest neighbours and their distance in Å.
Space group Cmcm (No. 63)
Inequivalent atoms, fractional coordinates:
Nd 0.0000 0.1103 0.2500 [4 per cell]  6 C 2.82-2.86, 1 Os 3.15
Pa 0.0000 0.3674 0.0431 [8 per cell]  6 C 2.39-2.60
Os 0.0000 0.1539 0.7500 [4 per cell]  4 C 1.99-2.02
C 0.0000 0.0000 0.0000 [4 per cell]  4 Pa 2.45
C 0.0000 0.2603 0.6238 [8 per cell]  1 Os 1.99
C 0.0000 0.4240 0.2500 [4 per cell]  2 Os 2.02

***

DFT (PBE) results for a geometry-optimized HgSbH structure.

Computed properties:
ΔE to the lowest computed polymorph: 0 meV per atom
E: -29.2 eV/cell
total moment: 0.00 μB per atom

Cell lengths 8.0127, 7.7178, 4.9281 Å; angles 90.00, 90.00, 90.00 degrees
Last column: nearest neighbours and their distance in Å.
Space group Pnma (No. 62)
Inequivalent atoms, fractional coordinates:
Hg 0.0000 0.0000 0.0000 [4 per cell]  2 Sb 2.79
Sb 0.0567 0.2500 0.3983 [4 per cell]  1 H 1.75
H 0.1560 0.7500 0.5196 [4 per cell]  1 Sb 1.75

***

DFT (PBE) results for a geometry-optimized IrRuO4 structure.

Computed properties:
E: -173.4 eV/cell
total moment: 0.00 μB per atom
E_form (uncorrected): -896 meV/atom

Cell lengths 6.4220, 6.4220, 6.3330 Å; angles 90.00, 90.00, 90.00 degrees
Last column: nearest neighbours and their distance in Å.
Space group I4_1md (No. 109)
Inequivalent atoms, fractional coordinates:
Ir 0.0000 0.0000 0.0000 [4 per cell]  6 O 1.98-2.02
Ru 0.0000 0.0000 0.4980 [4 per cell]  6 O 1.97-2.01
O 0.0000 0.3068 0.4995 [8 per cell]  2 Ru 1.97-2.00, 1 Ir 2.01
O 0.0000 0.3078 0.9984 [8 per cell]  2 Ir 1.98-2.02, 1 Ru 2.01

***

DFT (PBE) results for a geometry-optimized ZrTaCo6 structure.

Computed properties:
E_form: -181 meV per atom
E: -515.8 eV/cell
total moment: 0.55 μB per atom

Cell lengths 7.4017, 10.4468, 10.4663 Å; angles 90.00, 90.00, 90.00 degrees
Last column: nearest neighbours and their distance in Å.
Space group Cmmm (No. 65)
Inequivalent atoms, fractional coordinates:
Zr 0.0000 0.0000 0.2486 [4 per cell]  12 Co 2.60-2.66
Zr 0.0000 0.2475 0.5000 [4 per cell]  12 Co 2.59-2.67
Ta 0.0000 0.2473 0.0000 [4 per cell]  12 Co 2.56-2.64
Ta 0.0000 0.5000 0.2489 [4 per cell]  12 Co 2.57-2.63
Co 0.0000 0.0000 0.0000 [2 per cell]  2 Ta 2.58, 2 Zr 2.60, 8 Co 2.63
Co 0.0000 0.0000 0.5000 [2 per cell]  4 Zr 2.59-2.63, 8 Co 2.65
Co 0.0000 0.2538 0.2447 [8 per cell]  8 Co 2.55-2.68, 2 Ta 2.56-2.57, 2 Zr 2.65-2.67
Co 0.0000 0.5000 0.0000 [2 per cell]  8 Co 2.58, 4 Ta 2.61-2.64
Co 0.0000 0.5000 0.5000 [2 per cell]  8 Co 2.60, 2 Ta 2.63, 2 Zr 2.64
Co 0.2449 0.3734 0.1217 [16 per cell]  8 Co 2.55-2.65, 3 Ta 2.58-2.61, 1 Zr 2.66
Co 0.2446 0.3766 0.3715 [16 per cell]  1 Ta 2.57, 8 Co 2.58-2.69, 3 Zr 2.63-2.66